# 1
DFT (GGA-PBE) results for a relaxed CaAuCl2 crystal.

It has space group R-3m (No. 166, hexagonal axes), with a = 3.8105 Å, b = 3.8105 Å, c = 30.5961 Å, α = 90.00°, β = 90.00° and γ = 120.00°. Symmetry generates all atoms from Ca at (0.0000, 0.0000, 0.0000), Au at (0.0000, 0.0000, 0.5000) and Cl at (0.0000, 0.0000, 0.3843).

The value obtained for the magnetic moment is 0.00 μB per formula unit. As for the uncorrected formation energy: -1.22 eV per atom. The value obtained for the density of states at the Fermi level is 0.58 states/eV/f.u. The excess energy over the best structure of this formula in the dataset is 0.002 eV per atom. For the total energy, the calculation gives -3.47 eV/atom.



# 2
DFT (GGA-PBE) results for a relaxed SiHgS crystal.

It has space group Cc (No. 9), with a = 19.997 Å, b = 5.025 Å, c = 11.826 Å, α = 90.00°, β = 126.13° and γ = 90.00°. Symmetry generates all atoms from Si at (0.000, 0.170, 0.000), Si at (0.198, 0.226, 0.906), Si at (0.350, 0.202, 0.842), Hg at (0.095, 0.474, 0.205), Hg at (0.097, 0.021, 0.941), Hg at (0.282, 0.498, 0.128), S at (0.269, 0.041, 0.368), S at (0.420, 0.085, 0.312) and S at (0.431, 0.407, 0.042).

The value obtained for the magnetic moment is 0.00 μB per formula unit. As for the uncorrected formation energy: -0.17 eV per atom. For the total energy, the calculation gives -3.46 eV/atom.



# 3
DFT (GGA-PBE) results for a relaxed Zr2NbTlAg crystal.

It has space group P4/mmm (No. 123), with a = 5.148 Å, b = 5.148 Å, c = 4.950 Å, α = 90.00°, β = 90.00° and γ = 90.00°. Symmetry generates all atoms from Zr at (0.000, 0.500, 0.000), Nb at (0.000, 0.000, 0.500), Tl at (0.500, 0.500, 0.500) and Ag at (0.500, 0.500, 0.000).

The value obtained for the magnetic moment is 0.00 μB per formula unit. The value obtained for the density of states at the Fermi level is 7.69 states/eV/f.u. For the total energy, the calculation gives -5.22 eV/atom. The calculation puts the formation energy at 1.2572 eV per atom.



# 4
DFT (GGA-PBE) results for a relaxed Sm2Mn2Te2S3 crystal.

It has space group I4/mmm (No. 139), with a = 4.729 Å, b = 4.729 Å, c = 19.544 Å, α = 90.00°, β = 90.00° and γ = 90.00°. Symmetry generates all atoms from Sm at (0.000, 0.000, 0.176), Mn at (0.000, 0.500, 0.000), Te at (0.000, 0.000, 0.401), S at (0.000, 0.000, 0.000) and S at (0.000, 0.500, 0.250).

The value obtained for the magnetic moment is 9.54 μB per formula unit. As for the uncorrected formation energy: -1.03 eV per atom. The value obtained for the density of states at the Fermi level is 3.98 states/eV/f.u. For the total energy, the calculation gives -6.19 eV/atom.



# 5
DFT (GGA-PBE) results for a relaxed Sb2Pb2Au crystal.

It has space group Ibam (No. 72), with a = 6.340 Å, b = 15.089 Å, c = 5.740 Å, α = 90.00°, β = 90.00° and γ = 90.00°. Symmetry generates all atoms from Sb at (0.156, 0.088, 0.000), Pb at (0.165, 0.315, 0.000) and Au at (0.000, 0.500, 0.250).

The value obtained for the magnetic moment is 0.00 μB per formula unit. As for the uncorrected formation energy: 0.02 eV per atom. The value obtained for the density of states at the Fermi level is 2.07 states/eV/f.u. The excess energy over the best structure of this formula in the dataset is 0.000 eV per atom. For the total energy, the calculation gives -3.77 eV/atom.



# 6
DFT (GGA-PBE) results for a relaxed AcDy4Se6 crystal.

It has space group Cmcm (No. 63), with a = 4.123 Å, b = 13.409 Å, c = 20.920 Å, α = 90.00°, β = 90.00° and γ = 90.00°. Symmetry generates all atoms from Ac at (0.000, 0.157, 0.250), Dy at (0.000, 0.094, 0.623), Dy at (0.000, 0.359, 0.537), Se at (0.000, 0.000, 0.000), Se at (0.000, 0.172, 0.750), Se at (0.000, 0.265, 0.091) and Se at (0.000, 0.456, 0.661).

The value obtained for the magnetic moment is 0.00 μB per formula unit. As for the uncorrected formation energy: -1.87 eV per atom. The value obtained for the density of states at the Fermi level is 3.39 states/eV/f.u. For the total energy, the calculation gives -5.82 eV/atom.



# 7
DFT (GGA-PBE) results for a relaxed ThTlGe crystal.

It has space group P4/nmm (No. 129, origin choice 2), with a = 4.352 Å, b = 4.352 Å, c = 8.604 Å, α = 90.00°, β = 90.00° and γ = 90.00°. Symmetry generates all atoms from Th at (0.250, 0.250, 0.165), Tl at (0.250, 0.750, 0.500) and Ge at (0.250, 0.250, 0.819).

The value obtained for the magnetic moment is 0.00 μB per formula unit. The value obtained for the density of states at the Fermi level is 1.69 states/eV/f.u. For the total energy, the calculation gives -5.16 eV/atom. The calculation puts the formation energy at -0.3576 eV per atom.



# 8
DFT (GGA-PBE) results for a relaxed KPd4Pb6 crystal.

It has space group I-42m (No. 121), with a = 7.376 Å, b = 7.376 Å, c = 10.420 Å, α = 90.00°, β = 90.00° and γ = 90.00°. Symmetry generates all atoms from K at (0.000, 0.000, 0.000), Pd at (0.168, 0.168, 0.425), Pb at (0.000, 0.500, 0.000) and Pb at (0.178, 0.178, 0.708).

The value obtained for the magnetic moment is 0.00 μB per formula unit. The value obtained for the density of states at the Fermi level is 4.71 states/eV/f.u. For the total energy, the calculation gives -4.21 eV/atom. The calculation puts the formation energy at -0.1978 eV per atom.



# 9
DFT (GGA-PBE) results for a relaxed Ce2Nd3Ga4 crystal.

It has space group C2/m (No. 12), with a = 11.952 Å, b = 4.478 Å, c = 10.024 Å, α = 90.00°, β = 118.09° and γ = 90.00°. Symmetry generates all atoms from Ce at (0.166, 0.000, 0.324), Nd at (0.000, 0.500, 0.000), Nd at (0.140, 0.000, 0.703), Ga at (0.061, 0.500, 0.421) and Ga at (0.208, 0.000, 0.043).

The value obtained for the magnetic moment is 0.87 μB per formula unit. The value obtained for the density of states at the Fermi level is 12.03 states/eV/f.u. For the total energy, the calculation gives -4.63 eV/atom. The calculation puts the formation energy at -0.3780 eV per atom.



# 10
DFT (GGA-PBE) results for a relaxed Gd2ZrCd crystal.

It has space group Fm-3m (No. 225), with a = 7.572 Å, b = 7.572 Å, c = 7.572 Å, α = 90.00°, β = 90.00° and γ = 90.00°. Symmetry generates all atoms from Gd at (0.250, 0.250, 0.250), Zr at (0.000, 0.000, 0.000) and Cd at (0.000, 0.000, 0.500).

The value obtained for the magnetic moment is 16.55 μB per formula unit. The value obtained for the density of states at the Fermi level is 5.08 states/eV/f.u. The excess energy over the best structure of this formula in the dataset is 0.143 eV per atom. For the total energy, the calculation gives -9.38 eV/atom. The calculation puts the formation energy at 0.0296 eV per atom.



# 11
DFT (GGA-PBE) results for a relaxed Ce2YScAs4 crystal.

It has space group P2/m (No. 10), with a = 7.099 Å, b = 4.122 Å, c = 7.137 Å, α = 90.00°, β = 109.58° and γ = 90.00°. Symmetry generates all atoms from Ce at (0.000, 0.000, 0.000), Ce at (0.000, 0.500, 0.500), Y at (0.500, 0.000, 0.500), Sc at (0.500, 0.500, 0.000), As at (0.259, 0.500, 0.246) and As at (0.264, 0.000, 0.762).

The value obtained for the magnetic moment is 1.24 μB per formula unit. The value obtained for the density of states at the Fermi level is 11.05 states/eV/f.u. For the total energy, the calculation gives -6.84 eV/atom. The calculation puts the formation energy at -1.4295 eV per atom.



# 12
DFT (GGA-PBE) results for a relaxed TlCd3 crystal.

It has space group Imm2 (No. 44), with a = 3.290 Å, b = 10.970 Å, c = 5.586 Å, α = 90.00°, β = 90.00° and γ = 90.00°. Symmetry generates all atoms from Tl at (0.000, 0.000, 0.000), Cd at (0.000, 0.238, 0.373) and Cd at (0.000, 0.500, 0.010).

The value obtained for the magnetic moment is 0.00 μB per formula unit. The value obtained for the density of states at the Fermi level is 1.42 states/eV/f.u. For the total energy, the calculation gives -1.22 eV/atom. The calculation puts the formation energy at 0.0530 eV per atom.



# 13
DFT (GGA-PBE) results for a relaxed AcPrSmY2 crystal.

It has space group P2_1/m (No. 11), with a = 6.458 Å, b = 5.945 Å, c = 9.867 Å, α = 90.00°, β = 108.42° and γ = 90.00°. Symmetry generates all atoms from Ac at (0.036, 0.250, 0.391), Pr at (0.237, 0.250, 0.808), Sm at (0.378, 0.750, 0.397), Y at (0.169, 0.750, 0.008) and Y at (0.436, 0.250, 0.193).

The value obtained for the magnetic moment is 0.00 μB per formula unit. The value obtained for the density of states at the Fermi level is 8.45 states/eV/f.u. For the total energy, the calculation gives -5.27 eV/atom. The calculation puts the formation energy at 0.0352 eV per atom.



# 14
DFT (GGA-PBE) results for a relaxed MnB3C crystal.

It has space group Pm-3m (No. 221), with a = 3.340 Å, b = 3.340 Å, c = 3.340 Å, α = 90.00°, β = 90.00° and γ = 90.00°. Symmetry generates all atoms from Mn at (0.000, 0.000, 0.000), B at (0.000, 0.500, 0.500) and C at (0.500, 0.500, 0.500).

The value obtained for the magnetic moment is 0.00 μB per formula unit. The value obtained for the density of states at the Fermi level is 2.87 states/eV/f.u. The excess energy over the best structure of this formula in the dataset is 0.000 eV per atom. For the total energy, the calculation gives -6.09 eV/atom. The calculation puts the formation energy at 1.5961 eV per atom.



# 15
DFT (GGA-PBE) results for a relaxed PrY6Ho3Th2 crystal.

It has space group C2/m (No. 12), with a = 6.211 Å, b = 10.748 Å, c = 11.787 Å, α = 90.00°, β = 100.13° and γ = 90.00°. Symmetry generates all atoms from Pr at (0.000, 0.000, 0.000), Y at (0.246, 0.500, 0.250), Y at (0.247, 0.331, 0.751), Ho at (0.000, 0.166, 0.500), Ho at (0.000, 0.500, 0.500) and Th at (0.000, 0.333, 0.000).

The value obtained for the magnetic moment is 0.00 μB per formula unit. The value obtained for the density of states at the Fermi level is 18.06 states/eV/f.u. For the total energy, the calculation gives -5.98 eV/atom. The calculation puts the formation energy at 0.0362 eV per atom.



# 16
DFT (GGA-PBE) results for a relaxed Nd5Y2Ho crystal.

It has space group Pbam (No. 55), with a = 7.265 Å, b = 14.539 Å, c = 5.140 Å, α = 90.00°, β = 90.00° and γ = 90.00°. Symmetry generates all atoms from Nd at (0.000, 0.000, 0.000), Nd at (0.001, 0.251, 0.000), Nd at (0.248, 0.624, 0.500), Y at (0.250, 0.376, 0.500) and Ho at (0.000, 0.500, 0.000).

The value obtained for the magnetic moment is 0.00 μB per formula unit. The value obtained for the density of states at the Fermi level is 12.07 states/eV/f.u. For the total energy, the calculation gives -5.15 eV/atom. The calculation puts the formation energy at 0.0151 eV per atom.



# 17
DFT (GGA-PBE) results for a relaxed GaSiTe3 crystal.

It has space group Pm-3m (No. 221), with a = 5.340 Å, b = 5.340 Å, c = 5.340 Å, α = 90.00°, β = 90.00° and γ = 90.00°. Symmetry generates all atoms from Ga at (0.000, 0.000, 0.000), Si at (0.500, 0.500, 0.500) and Te at (0.000, 0.000, 0.500).

The value obtained for the magnetic moment is 0.00 μB per formula unit. As for the uncorrected formation energy: 0.69 eV per atom. The value obtained for the density of states at the Fermi level is 4.36 states/eV/f.u. For the total energy, the calculation gives -2.89 eV/atom.



# 18
DFT (GGA-PBE) results for a relaxed KPaTlO4 crystal.

It has space group Imma (No. 74), with a = 7.112 Å, b = 7.324 Å, c = 10.742 Å, α = 90.00°, β = 90.00° and γ = 90.00°. Symmetry generates all atoms from K at (0.000, 0.250, 0.112), Pa at (0.250, 0.250, 0.750), Tl at (0.000, 0.000, 0.500), O at (0.000, 0.066, 0.756) and O at (0.219, 0.250, 0.549).

The value obtained for the magnetic moment is 0.00 μB per formula unit. As for the uncorrected formation energy: -2.27 eV per atom. The value obtained for the density of states at the Fermi level is 1.45 states/eV/f.u. For the total energy, the calculation gives -6.95 eV/atom.



# 19
DFT (GGA-PBE) results for a relaxed Re2AuF crystal.

It has space group I-42d (No. 122), with a = 3.854 Å, b = 3.854 Å, c = 17.620 Å, α = 90.00°, β = 90.00° and γ = 90.00°. Symmetry generates all atoms from Re at (0.189, 0.250, 0.125), Au at (0.000, 0.000, 0.500) and F at (0.000, 0.000, 0.000).

The value obtained for the magnetic moment is 0.00 μB per formula unit. As for the uncorrected formation energy: 0.69 eV per atom. The value obtained for the density of states at the Fermi level is 2.83 states/eV/f.u. The excess energy over the best structure of this formula in the dataset is 0.000 eV per atom. For the total energy, the calculation gives -6.82 eV/atom.



# 20
DFT (GGA-PBE) results for a relaxed ZrSc14Al crystal.

It has space group Amm2 (No. 38), with a = 9.877 Å, b = 7.667 Å, c = 10.018 Å, α = 90.00°, β = 90.00° and γ = 90.00°. Symmetry generates all atoms from Zr at (0.000, 0.000, 0.000), Sc at (0.000, 0.208, 0.266), Sc at (0.221, 0.000, 0.768), Sc at (0.240, 0.209, 0.487), Sc at (0.272, 0.000, 0.205), Sc at (0.500, 0.000, 0.428), Sc at (0.500, 0.000, 0.977), Sc at (0.500, 0.201, 0.707) and Al at (0.000, 0.000, 0.544).

The value obtained for the magnetic moment is 0.43 μB per formula unit. The value obtained for the density of states at the Fermi level is 26.06 states/eV/f.u. For the total energy, the calculation gives -6.32 eV/atom. The calculation puts the formation energy at -0.0163 eV per atom.



# 21
DFT (GGA-PBE) results for a relaxed ScSe3 crystal.

It has space group Pnma (No. 62), with a = 7.532 Å, b = 7.394 Å, c = 6.733 Å, α = 90.00°, β = 90.00° and γ = 90.00°. Symmetry generates all atoms from Sc at (0.156, 0.250, 0.036), Se at (0.016, 0.250, 0.659) and Se at (0.125, 0.557, 0.791).

The value obtained for the magnetic moment is 0.00 μB per formula unit. As for the uncorrected formation energy: -0.90 eV per atom. The value obtained for the density of states at the Fermi level is 0.96 states/eV/f.u. For the total energy, the calculation gives -5.09 eV/atom.



# 22
DFT (GGA-PBE) results for a relaxed BaAlMo2 crystal.

It has space group Cm (No. 8), with a = 8.428 Å, b = 3.189 Å, c = 7.187 Å, α = 90.00°, β = 97.17° and γ = 90.00°. Symmetry generates all atoms from Ba at (0.000, 0.000, 0.000), Al at (0.254, 0.500, 0.351), Mo at (0.217, 0.000, 0.653) and Mo at (0.488, 0.000, 0.517).

The value obtained for the magnetic moment is 0.00 μB per formula unit. The value obtained for the density of states at the Fermi level is 3.25 states/eV/f.u. For the total energy, the calculation gives -6.36 eV/atom. The calculation puts the formation energy at 0.4748 eV per atom.



# 23
DFT (GGA-PBE) results for a relaxed Si2TcSe crystal.

It has space group P4/mmm (No. 123), with a = 3.134 Å, b = 3.134 Å, c = 6.259 Å, α = 90.00°, β = 90.00° and γ = 90.00°. Symmetry generates all atoms from Si at (0.000, 0.000, 0.210), Tc at (0.500, 0.500, 0.000) and Se at (0.500, 0.500, 0.500).

The value obtained for the magnetic moment is 0.00 μB per formula unit. As for the uncorrected formation energy: 0.11 eV per atom. The value obtained for the density of states at the Fermi level is 1.82 states/eV/f.u. For the total energy, the calculation gives -6.07 eV/atom.